1.
Entry from Alexandria via LeMat-Bulk: crystalline AgSb2Pd at its relaxed geometry (GGA-PBE).

Cell: 6.987 6.987 6.987 Å, 90.00 90.00 90.00°
Space group Fm-3m (No. 225)
Unique sites:
Ag 0.000 0.000 0.000
Sb 0.250 0.250 0.250
Pd 0.000 0.000 0.500

Computed properties:
Formation energy (no corrections) (meV per atom): -29.4
D(E_F) (states/eV/atom): 0.305
ρ (g cm⁻³): 8.9
Total magnetization (μB per atom): 0.0000

=====

2.
Entry from Alexandria via LeMat-Bulk: crystalline Tb2Sm2N3 at its relaxed geometry (GGA-PBE).

Cell: 11.821 3.543 6.213 Å, 90.00 99.83 90.00°
Space group C2/m (No. 12)
Unique sites:
Tb 0.126 0.000 0.390
Sm 0.133 0.500 0.864
N 0.000 0.500 0.500
N 0.247 0.000 0.742

Computed properties:
Formation energy (no corrections) (meV per atom): -1329.4
D(E_F) (states/eV/atom): 0.498
ρ (g cm⁻³): 8.6
Total magnetization (μB per atom): 0.0000

=====

3.
Entry from Alexandria via LeMat-Bulk: crystalline Rb2YTiI6 at its relaxed geometry (GGA-PBE).

Cell: 11.911 11.911 11.911 Å, 90.00 90.00 90.00°
Space group Fm-3m (No. 225)
Unique sites:
Rb 0.250 0.250 0.250
Y 0.000 0.000 0.000
Ti 0.000 0.000 0.500
I 0.000 0.000 0.254

Computed properties:
Formation energy (no corrections) (meV per atom): -1089.8
D(E_F) (states/eV/atom): 0.044
ρ (g cm⁻³): 4.2
Total magnetization (μB per atom): 0.3000